[1]
! CsGeIrBr2 (PBE, optimized geometry); values from VASP
! N(E_F)	0.86	states/eV/atom
&SYSTEM
  ibrav = 0, nat = 5, ntyp = 4
/
ATOMIC_SPECIES
Cs 132.91 Cs.upf
Ge 72.64 Ge.upf
Ir 192.22 Ir.upf
Br 79.90 Br.upf
CELL_PARAMETERS angstrom
6.5040 0.0000 0.0000
0.0000 6.5040 0.0000
0.0000 0.0000 6.4771
ATOMIC_POSITIONS crystal
Cs 0.0000 0.0000 0.0000
Ge 0.0000 0.0000 0.5000
Ir 0.5000 0.5000 0.5000
Br 0.0000 0.5000 0.0000
Br 0.5000 0.0000 0.0000

=====

[2]
Cs2KGe2Br7 | PBE | optimized geometry Values from VASP.

The structure in Quantum ESPRESSO input format:
```
&SYSTEM
  ibrav = 0, nat = 12, ntyp = 4
/
ATOMIC_SPECIES
Cs 132.91 Cs.upf
K 39.10 K.upf
Ge 72.64 Ge.upf
Br 79.90 Br.upf
CELL_PARAMETERS angstrom
4.0110 -3.9613 0.0000
4.0110 3.9613 0.0000
-3.7708 0.0000 14.5461
ATOMIC_POSITIONS crystal
Cs 0.1785 0.1785 0.3608
Cs 0.8215 0.8215 0.6392
K 0.0000 0.0000 0.0000
Ge 0.3854 0.3854 0.8062
Ge 0.6146 0.6146 0.1938
Br 0.0731 0.5888 0.1845
Br 0.3022 0.3022 0.6134
Br 0.4112 0.9269 0.8155
Br 0.5000 0.5000 0.0000
Br 0.5888 0.0731 0.1845
Br 0.6978 0.6978 0.3866
Br 0.9269 0.4112 0.8155
```

=====

[3]
! Cs2KGeBr5 (PBE, optimized geometry); values from VASP
! N(E_F)	0.00	states/eV/atom
&SYSTEM
  ibrav = 0, nat = 18, ntyp = 4
/
ATOMIC_SPECIES
Cs 132.91 Cs.upf
K 39.10 K.upf
Ge 72.64 Ge.upf
Br 79.90 Br.upf
CELL_PARAMETERS angstrom
2.7149 -9.6833 0.0000
2.7149 9.6833 0.0000
0.0000 0.0000 14.2081
ATOMIC_POSITIONS crystal
Cs 0.1095 0.8905 0.5000
Cs 0.1456 0.8544 0.1399
Cs 0.8544 0.1456 0.6399
Cs 0.8905 0.1095 0.0000
K 0.2039 0.7961 0.8386
K 0.7961 0.2039 0.3386
Ge 0.4709 0.5291 0.2528
Ge 0.5291 0.4709 0.7528
Br 0.0310 0.9690 0.7889
Br 0.2925 0.7075 0.4790
Br 0.3374 0.6626 0.1922
Br 0.3757 0.6243 0.8180
Br 0.4862 0.5138 0.5844
Br 0.5138 0.4862 0.0844
Br 0.6243 0.3757 0.3180
Br 0.6626 0.3374 0.6922
Br 0.7075 0.2925 0.9790
Br 0.9690 0.0310 0.2889

=====

[4]
! CsKGe2Br (PBE, optimized geometry); values from VASP
! N(E_F)	1.11	states/eV/atom
&SYSTEM
  ibrav = 0, nat = 5, ntyp = 4
/
ATOMIC_SPECIES
Cs 132.91 Cs.upf
K 39.10 K.upf
Ge 72.64 Ge.upf
Br 79.90 Br.upf
CELL_PARAMETERS angstrom
5.6417 0.0000 0.0000
0.0000 5.6417 0.0000
0.0000 0.0000 6.0185
ATOMIC_POSITIONS crystal
Cs 0.0000 0.0000 0.0000
K 0.5000 0.5000 0.0000
Ge 0.0000 0.5000 0.5000
Ge 0.5000 0.0000 0.5000
Br 0.5000 0.5000 0.5000

=====

[5]
! Cs3KGe2Br9 (PBE, optimized geometry); values from VASP
! N(E_F)	0.29	states/eV/atom
&SYSTEM
  ibrav = 0, nat = 15, ntyp = 4
/
ATOMIC_SPECIES
Cs 132.91 Cs.upf
K 39.10 K.upf
Ge 72.64 Ge.upf
Br 79.90 Br.upf
CELL_PARAMETERS angstrom
8.0656 0.0000 0.0000
-4.0328 6.9850 0.0000
0.0000 0.0000 10.1529
ATOMIC_POSITIONS crystal
Cs 0.0000 0.0000 0.0000
Cs 0.3333 0.6667 0.6900
Cs 0.6667 0.3333 0.3100
K 0.0000 0.0000 0.5000
Ge 0.3333 0.6667 0.1596
Ge 0.6667 0.3333 0.8404
Br 0.0000 0.5000 0.0000
Br 0.1792 0.3585 0.3080
Br 0.1792 0.8208 0.3080
Br 0.3585 0.1792 0.6920
Br 0.5000 0.0000 0.0000
Br 0.5000 0.5000 0.0000
Br 0.6415 0.8208 0.3080
Br 0.8208 0.1792 0.6920
Br 0.8208 0.6415 0.6920

=====

[6]
! Cs2LaGeBr6 (PBE, optimized geometry); values from VASP
! N(E_F)	0.75	states/eV/atom
&SYSTEM
  ibrav = 0, nat = 10, ntyp = 4
/
ATOMIC_SPECIES
Cs 132.91 Cs.upf
La 138.91 La.upf
Ge 72.64 Ge.upf
Br 79.90 Br.upf
CELL_PARAMETERS angstrom
-4.2875 4.2875 5.7344
4.2875 -4.2875 5.7344
4.2875 4.2875 -5.7344
ATOMIC_POSITIONS crystal
Cs 0.2500 0.7500 0.5000
Cs 0.7500 0.2500 0.5000
La 0.0000 0.0000 0.0000
Ge 0.5000 0.5000 0.0000
Br 0.2423 0.2423 0.4846
Br 0.2423 0.7577 0.0000
Br 0.2568 0.2568 0.0000
Br 0.7432 0.7432 0.0000
Br 0.7577 0.2423 0.0000
Br 0.7577 0.7577 0.5154

=====

[7]
! Cs4LiGe3Br12 (PBE, optimized geometry); values from VASP
! N(E_F)	0.21	states/eV/atom
&SYSTEM
  ibrav = 0, nat = 20, ntyp = 4
/
ATOMIC_SPECIES
Cs 132.91 Cs.upf
Li 6.94 Li.upf
Ge 72.64 Ge.upf
Br 79.90 Br.upf
CELL_PARAMETERS angstrom
-5.5316 5.5316 5.5316
5.5316 -5.5316 5.5316
5.5316 5.5316 -5.5316
ATOMIC_POSITIONS crystal
Cs 0.0000 0.0000 0.5000
Cs 0.0000 0.5000 0.0000
Cs 0.5000 0.0000 0.0000
Cs 0.5000 0.5000 0.5000
Li 0.0000 0.0000 0.0000
Ge 0.0000 0.5000 0.5000
Ge 0.5000 0.0000 0.5000
Ge 0.5000 0.5000 0.0000
Br 0.0000 0.2542 0.2542
Br 0.0000 0.7458 0.7458
Br 0.2500 0.5000 0.7500
Br 0.2500 0.7500 0.5000
Br 0.2542 0.0000 0.2542
Br 0.2542 0.2542 0.0000
Br 0.5000 0.2500 0.7500
Br 0.5000 0.7500 0.2500
Br 0.7458 0.0000 0.7458
Br 0.7458 0.7458 0.0000
Br 0.7500 0.2500 0.5000
Br 0.7500 0.5000 0.2500

=====

[8]
! Cs2Li2GeBr6 (PBE, optimized geometry); values from VASP
! N(E_F)	0.00	states/eV/atom
&SYSTEM
  ibrav = 0, nat = 11, ntyp = 4
/
ATOMIC_SPECIES
Cs 132.91 Cs.upf
Li 6.94 Li.upf
Ge 72.64 Ge.upf
Br 79.90 Br.upf
CELL_PARAMETERS angstrom
6.8127 -3.9662 0.0000
6.8127 3.9662 0.0000
-3.7497 0.0000 7.4957
ATOMIC_POSITIONS crystal
Cs 0.2106 0.2106 0.1797
Cs 0.7894 0.7894 0.8203
Li 0.4281 0.4281 0.7233
Li 0.5719 0.5719 0.2767
Ge 0.0000 0.0000 0.5000
Br 0.2081 0.7232 0.2289
Br 0.2322 0.2322 0.6352
Br 0.2768 0.7919 0.7711
Br 0.7232 0.2081 0.2289
Br 0.7678 0.7678 0.3648
Br 0.7919 0.2768 0.7711

=====

[9]
! Cs2LiGeBr5 (PBE, optimized geometry); values from VASP
! N(E_F)	0.00	states/eV/atom
&SYSTEM
  ibrav = 0, nat = 18, ntyp = 4
/
ATOMIC_SPECIES
Cs 132.91 Cs.upf
Li 6.94 Li.upf
Ge 72.64 Ge.upf
Br 79.90 Br.upf
CELL_PARAMETERS angstrom
2.2225 -10.4194 0.0000
2.2225 10.4194 0.0000
0.0000 0.0000 14.5739
ATOMIC_POSITIONS crystal
Cs 0.1035 0.8965 0.5000
Cs 0.1269 0.8731 0.1176
Cs 0.8731 0.1269 0.6176
Cs 0.8965 0.1035 0.0000
Li 0.4288 0.5712 0.2711
Li 0.5712 0.4288 0.7711
Ge 0.2120 0.7880 0.8349
Ge 0.7880 0.2120 0.3349
Br 0.0682 0.9318 0.8618
Br 0.2793 0.7207 0.4623
Br 0.3083 0.6918 0.2060
Br 0.3385 0.6615 0.8136
Br 0.4941 0.5059 0.1282
Br 0.5059 0.4941 0.6282
Br 0.6615 0.3385 0.3136
Br 0.6918 0.3083 0.7060
Br 0.7207 0.2793 0.9623
Br 0.9318 0.0682 0.3618

=====

[10]
! Cs2LiGeBr6 (PBE, optimized geometry); values from VASP
! N(E_F)	0.41	states/eV/atom
&SYSTEM
  ibrav = 0, nat = 10, ntyp = 4
/
ATOMIC_SPECIES
Cs 132.91 Cs.upf
Li 6.94 Li.upf
Ge 72.64 Ge.upf
Br 79.90 Br.upf
CELL_PARAMETERS angstrom
-3.8742 3.8742 5.4884
3.8742 -3.8742 5.4884
3.8742 3.8742 -5.4884
ATOMIC_POSITIONS crystal
Cs 0.2500 0.7500 0.5000
Cs 0.7500 0.2500 0.5000
Li 0.0000 0.0000 0.0000
Ge 0.5000 0.5000 0.0000
Br 0.2563 0.2563 0.0000
Br 0.2557 0.2557 0.5114
Br 0.2557 0.7443 0.0000
Br 0.7443 0.2557 0.0000
Br 0.7437 0.7437 0.0000
Br 0.7443 0.7443 0.4886

=====

[11]
! Cs2MgGeBr (PBE, optimized geometry); values from VASP
! N(E_F)	0.51	states/eV/atom
&SYSTEM
  ibrav = 0, nat = 5, ntyp = 4
/
ATOMIC_SPECIES
Cs 132.91 Cs.upf
Mg 24.30 Mg.upf
Ge 72.64 Ge.upf
Br 79.90 Br.upf
CELL_PARAMETERS angstrom
7.2526 0.0000 0.0000
0.0000 7.2526 0.0000
0.0000 0.0000 4.8651
ATOMIC_POSITIONS crystal
Cs 0.0000 0.5000 0.0000
Cs 0.5000 0.0000 0.0000
Mg 0.0000 0.0000 0.0000
Ge 0.0000 0.0000 0.5000
Br 0.5000 0.5000 0.5000

=====

[12]
! Cs3Mg2GeBr9 (PBE, optimized geometry); values from VASP
! N(E_F)	0.00	states/eV/atom
&SYSTEM
  ibrav = 0, nat = 15, ntyp = 4
/
ATOMIC_SPECIES
Cs 132.91 Cs.upf
Mg 24.30 Mg.upf
Ge 72.64 Ge.upf
Br 79.90 Br.upf
CELL_PARAMETERS angstrom
7.7845 0.0000 0.0000
-3.8923 6.7416 0.0000
0.0000 0.0000 9.5374
ATOMIC_POSITIONS crystal
Cs 0.0000 0.0000 0.0000
Cs 0.3333 0.6667 0.6654
Cs 0.6667 0.3333 0.3346
Mg 0.3333 0.6667 0.1605
Mg 0.6667 0.3333 0.8395
Ge 0.0000 0.0000 0.5000
Br 0.0000 0.5000 0.0000
Br 0.1700 0.3401 0.3289
Br 0.1700 0.8300 0.3289
Br 0.3401 0.1700 0.6711
Br 0.5000 0.0000 0.0000
Br 0.5000 0.5000 0.0000
Br 0.6599 0.8300 0.3289
Br 0.8300 0.1700 0.6711
Br 0.8300 0.6599 0.6711

=====

no.,uncorrected formation energy (eV per atom)
1,1.52
2,-1.19
3,-1.38
4,0.18
5,-1.21
6,-1.43
7,-1.16
8,-1.34
9,-1.33
10,-1.22
11,-0.33
12,-1.42